# CsBa2U2O7 PBE optimized geometry
data_CsBa2U2O7
_symmetry_space_group_name_H-M 'P 1'
_symmetry_Int_Tables_number 1
_symmetry_space_group_name_Hall 'P 1'
_cell_length_a 4.468
_cell_length_b 4.468
_cell_length_c 11.627
_cell_angle_alpha 78.92
_cell_angle_beta 78.92
_cell_angle_gamma 90.00
loop_
_atom_site_label
_atom_site_type_symbol
_atom_site_fract_x
_atom_site_fract_y
_atom_site_fract_z
Cs1 Cs 0.000 0.000 0.000
Ba1 Ba 0.814 0.814 0.372
Ba2 Ba 0.186 0.186 0.628
U1 U 0.599 0.599 0.801
U2 U 0.401 0.401 0.199
O1 O 0.500 0.500 0.000
O2 O 0.304 0.304 0.391
O3 O 0.696 0.696 0.609
O4 O 0.893 0.393 0.214
O5 O 0.393 0.893 0.214
O6 O 0.607 0.107 0.786
O7 O 0.107 0.607 0.786
# Crystal system: tetragonal
# Space-group type: I4/mmm


# La6PuTe8 PBE optimized geometry
data_La6PuTe8
_symmetry_space_group_name_H-M 'P 1'
_symmetry_Int_Tables_number 1
_symmetry_space_group_name_Hall 'P 1'
_cell_length_a 8.522
_cell_length_b 8.522
_cell_length_c 8.522
_cell_angle_alpha 68.66
_cell_angle_beta 68.66
_cell_angle_gamma 68.66
loop_
_atom_site_label
_atom_site_type_symbol
_atom_site_fract_x
_atom_site_fract_y
_atom_site_fract_z
La1 La 0.073 0.461 0.700
La2 La 0.300 0.927 0.539
La3 La 0.539 0.300 0.927
La4 La 0.461 0.700 0.073
La5 La 0.700 0.073 0.461
La6 La 0.927 0.539 0.300
Pu1 Pu 0.000 0.000 0.000
Te1 Te 0.190 0.639 0.904
Te2 Te 0.096 0.810 0.361
Te3 Te 0.361 0.096 0.810
Te4 Te 0.668 0.668 0.668
Te5 Te 0.332 0.332 0.332
Te6 Te 0.639 0.904 0.190
Te7 Te 0.904 0.190 0.639
Te8 Te 0.810 0.361 0.096
# Crystal system: trigonal
# Space-group type: R-3


For reference, formation energy from raw total energies by record: -281 -140 kJ per mole of atoms.